# 1
The following is a DFT calculation (PBE-GGA) of a relaxed Pb3W5 crystal.

Space-group type: Cmmm, No. 65
Crystal system: orthorhombic
E_tot in eV/atom: -8.297

Unit cell a=5.7014 b=5.7014 c=4.7020 alpha=90.00 beta=90.00 gamma=100.47
With the nearest neighbours (Å) after each atom.
Fractional positions:
Pb: 0.2151 0.7849 0.5000  10 W 2.88-3.01
Pb: 0.5000 0.5000 0.0000  8 W 2.77-2.85
Pb: 0.7849 0.2151 0.5000  10 W 2.88-3.01
W: 0.2981 0.2981 0.5000  6 Pb 2.77-2.90, 1 W 2.95
W: 0.0000 0.0000 0.0000  4 W 2.85, 4 Pb 3.01
W: 0.5000 0.0000 0.0000  2 W 2.85, 6 Pb 2.85-2.99
W: 0.0000 0.5000 0.0000  6 Pb 2.85-2.99, 2 W 2.85
W: 0.7019 0.7019 0.5000  6 Pb 2.77-2.90, 1 W 2.95

=====

# 2
The following is a DFT calculation (PBE-GGA) of a relaxed PbW5 crystal.

Space-group type: P6/mmm, No. 191
E above lowest polymorph in meV/atom: 312.2
Crystal system: hexagonal
E_tot in eV/atom: -10.644

Unit cell a=5.2860 b=5.2860 c=4.7176 alpha=90.00 beta=90.00 gamma=120.00
With the nearest neighbours (Å) after each atom.
Fractional positions:
W: 0.5000 0.0000 0.5000  8 W 2.64-2.81
W: 0.0000 0.5000 0.5000  8 W 2.64-2.81
W: 0.3333 0.6667 0.0000  9 W 2.81-3.05, 3 Pb 3.05
W: 0.6667 0.3333 0.0000  9 W 2.81-3.05, 3 Pb 3.05
W: 0.5000 0.5000 0.5000  8 W 2.64-2.81
Pb: 0.0000 0.0000 0.0000  6 W 3.05

=====

# 3
The following is a DFT calculation (PBE-GGA) of a relaxed PbW2 crystal.

Space-group type: I4/mcm, No. 140
E above lowest polymorph in meV/atom: 845.6
Crystal system: tetragonal
E_tot in eV/atom: -8.452

Unit cell a=5.4146 b=5.4146 c=5.4146 alpha=105.23 beta=105.23 gamma=118.33
With the nearest neighbours (Å) after each atom.
Fractional positions:
Pb: 0.7500 0.7500 0.0000  2 Pb 2.78, 8 W 2.94
Pb: 0.2500 0.2500 0.0000  2 Pb 2.78, 8 W 2.94
W: 0.8721 0.6279 0.5000  1 W 2.38
W: 0.6279 0.1279 0.7557  1 W 2.38
W: 0.1279 0.3721 0.5000  1 W 2.38
W: 0.3721 0.8721 0.2443  1 W 2.38

=====

# 4
The following is a DFT calculation (PBE-GGA) of a relaxed PbW2 crystal.

Space-group type: Fm-3m, No. 225
E above lowest polymorph in meV/atom: 1501.5
Crystal system: cubic
E_tot in eV/atom: -7.797

Unit cell a=4.5007 b=4.5007 c=4.5007 alpha=60.00 beta=60.00 gamma=60.00
With the nearest neighbours (Å) after each atom.
Fractional positions:
Pb: 0.0000 0.0000 0.0000  8 W 2.76
W: 0.2500 0.2500 0.2500  4 Pb 2.76
W: 0.7500 0.7500 0.7500  4 Pb 2.76

=====

# 5
The following is a DFT calculation (PBE-GGA) of a relaxed PbW2 crystal.

Space-group type: Fd-3m, No. 227
E above lowest polymorph in meV/atom: 318.2
Crystal system: cubic
E_tot in eV/atom: -8.980

Unit cell a=5.5122 b=5.5122 c=5.5122 alpha=60.00 beta=60.00 gamma=60.00
With the nearest neighbours (Å) after each atom.
Fractional positions:
W: 0.1250 0.1250 0.1250  6 W 2.76
W: 0.1250 0.6250 0.1250  6 W 2.76
W: 0.6250 0.1250 0.1250  6 W 2.76
W: 0.1250 0.1250 0.6250  6 W 2.76
Pb: 0.7500 0.7500 0.7500  12 W 3.23, 4 Pb 3.38
Pb: 0.5000 0.5000 0.5000  12 W 3.23, 4 Pb 3.38

=====

# 6
The following is a DFT calculation (PBE-GGA) of a relaxed Pb4W5 crystal.

Space-group type: P6_3/mcm, No. 193
E above lowest polymorph in meV/atom: 534.1
Crystal system: hexagonal
E_tot in eV/atom: -7.465

Unit cell a=8.5009 b=8.5009 c=5.6493 alpha=90.00 beta=90.00 gamma=120.00
With the nearest neighbours (Å) after each atom.
Fractional positions:
Pb: 0.0000 0.0000 0.5000  2 Pb 2.82, 6 W 2.98
Pb: 0.0000 0.0000 0.0000  2 Pb 2.82, 6 W 2.98
Pb: 0.3662 0.3662 0.7500  9 W 2.76-3.05
Pb: 0.6338 0.6338 0.2500  9 W 2.76-3.05
Pb: 0.3662 0.0000 0.2500  9 W 2.76-3.05
Pb: 0.0000 0.6338 0.7500  9 W 2.76-3.05
Pb: 0.0000 0.3662 0.2500  9 W 2.76-3.05
Pb: 0.6338 0.0000 0.7500  9 W 2.76-3.05
W: 0.0000 0.3089 0.7500  7 Pb 2.76-2.98
W: 0.6667 0.3333 0.5000  2 W 2.82, 6 Pb 3.05
W: 0.6911 0.6911 0.7500  7 Pb 2.76-2.98
W: 0.6911 0.0000 0.2500  7 Pb 2.76-2.98
W: 0.3333 0.6667 0.0000  2 W 2.82, 6 Pb 3.05
W: 0.0000 0.6911 0.2500  7 Pb 2.76-2.98
W: 0.6667 0.3333 0.0000  2 W 2.82, 6 Pb 3.05
W: 0.3089 0.3089 0.2500  7 Pb 2.76-2.98
W: 0.3089 0.0000 0.7500  7 Pb 2.76-2.98
W: 0.3333 0.6667 0.5000  2 W 2.82, 6 Pb 3.05

=====

# 7
The following is a DFT calculation (PBE-GGA) of a relaxed PbW2 crystal.

Space-group type: Pnma, No. 62
E above lowest polymorph in meV/atom: 292.0
Crystal system: orthorhombic
E_tot in eV/atom: -9.006

Unit cell a=4.2910 b=5.8069 c=9.6791 alpha=90.00 beta=90.00 gamma=90.00
With the nearest neighbours (Å) after each atom.
Fractional positions:
Pb: 0.2500 0.6224 0.3872  9 W 2.86-3.14
Pb: 0.7500 0.3776 0.6128  9 W 2.86-3.14
Pb: 0.2500 0.1224 0.1128  9 W 2.86-3.14
Pb: 0.7500 0.8776 0.8872  9 W 2.86-3.14
W: 0.7500 0.9535 0.3095  3 W 2.61-2.64
W: 0.2500 0.1338 0.4264  3 W 2.61-2.64, 1 Pb 2.86
W: 0.2500 0.5465 0.8095  3 W 2.61-2.64
W: 0.7500 0.3662 0.9264  3 W 2.61-2.64, 1 Pb 2.86
W: 0.2500 0.6338 0.0736  3 W 2.61-2.64, 1 Pb 2.86
W: 0.7500 0.8662 0.5736  3 W 2.61-2.64, 1 Pb 2.86
W: 0.2500 0.0465 0.6905  3 W 2.61-2.64
W: 0.7500 0.4535 0.1905  3 W 2.61-2.64

=====

# 8
The following is a DFT calculation (PBE-GGA) of a relaxed PbW2 crystal.

Space-group type: P-3m1, No. 164
E above lowest polymorph in meV/atom: 469.6
Crystal system: trigonal
E_tot in eV/atom: -8.828

Unit cell a=4.6941 b=4.6941 c=2.9318 alpha=90.00 beta=90.00 gamma=120.00
With the nearest neighbours (Å) after each atom.
Fractional positions:
W: 0.6667 0.3333 0.3502  5 W 2.85-2.93, 3 Pb 2.90
W: 0.3333 0.6667 0.6498  5 W 2.85-2.93, 3 Pb 2.90
Pb: 0.0000 0.0000 0.0000  6 W 2.90, 2 Pb 2.93

=====

# 9
The following is a DFT calculation (PBE-GGA) of a relaxed PbW2 crystal.

Space-group type: Cmcm, No. 63
E above lowest polymorph in meV/atom: 426.8
Crystal system: orthorhombic
E_tot in eV/atom: -8.871

Unit cell a=7.7170 b=7.7170 c=4.7566 alpha=90.00 beta=90.00 gamma=157.06
With the nearest neighbours (Å) after each atom.
Fractional positions:
Pb: 0.3875 0.6125 0.2500  10 W 2.85-3.01, 2 Pb 3.07
Pb: 0.6125 0.3875 0.7500  10 W 2.85-3.01, 2 Pb 3.07
W: 0.0540 0.9460 0.2500  6 W 2.89-3.07, 6 Pb 2.95-2.97
W: 0.9460 0.0540 0.7500  6 W 2.89-3.07, 6 Pb 2.95-2.97
W: 0.2839 0.7161 0.7500  4 Pb 2.85-3.01, 8 W 2.89-3.07
W: 0.7161 0.2839 0.2500  4 Pb 2.85-3.01, 8 W 2.89-3.07

=====

# 10
The following is a DFT calculation (PBE-GGA) of a relaxed PbW8 crystal.

Space-group type: I4/mmm, No. 139
Crystal system: tetragonal
E_tot in eV/atom: -11.323

Unit cell a=6.2619 b=6.2619 c=6.2619 alpha=97.39 beta=97.39 gamma=137.96
With the nearest neighbours (Å) after each atom.
Fractional positions:
W: 0.6674 0.3326 0.0000  10 W 2.75-3.00, 2 Pb 2.98
W: 0.3326 0.3326 0.6652  10 W 2.75-3.00, 2 Pb 2.98
W: 0.3326 0.6674 0.0000  10 W 2.75-3.00, 2 Pb 2.98
W: 0.3401 0.0000 0.3401  7 W 2.64-2.92, 1 Pb 2.81
W: 0.6599 0.0000 0.6599  7 W 2.64-2.92, 1 Pb 2.81
W: 0.6674 0.6674 0.3348  10 W 2.75-3.00, 2 Pb 2.98
W: 0.0000 0.3401 0.3401  7 W 2.64-2.92, 1 Pb 2.81
W: 0.0000 0.6599 0.6599  7 W 2.64-2.92, 1 Pb 2.81
Pb: 0.0000 0.0000 0.0000  12 W 2.81-2.98

=====

# 11
The following is a DFT calculation (PBE-GGA) of a relaxed PbW5 crystal.

Space-group type: F-43m, No. 216
E above lowest polymorph in meV/atom: 258.2
Crystal system: cubic
E_tot in eV/atom: -10.698

Unit cell a=5.3397 b=5.3397 c=5.3397 alpha=60.00 beta=60.00 gamma=60.00
With the nearest neighbours (Å) after each atom.
Fractional positions:
W: 0.6249 0.6249 0.1252  6 W 2.67
W: 0.6249 0.6249 0.6249  6 W 2.67
W: 0.2500 0.2500 0.2500  12 W 3.13, 4 Pb 3.27
W: 0.6249 0.1252 0.6249  6 W 2.67
W: 0.1252 0.6249 0.6249  6 W 2.67
Pb: 0.0000 0.0000 0.0000  16 W 3.13-3.27

=====

# 12
The following is a DFT calculation (PBE-GGA) of a relaxed PbW2 crystal.

Space-group type: P-62m, No. 189
E above lowest polymorph in meV/atom: 476.1
Crystal system: hexagonal
E_tot in eV/atom: -8.822

Unit cell a=8.1734 b=8.1734 c=2.8702 alpha=90.00 beta=90.00 gamma=120.00
With the nearest neighbours (Å) after each atom.
Fractional positions:
W: 0.3501 0.3501 0.5000  5 Pb 2.86-3.02, 8 W 2.87-3.09
W: 0.0000 0.3163 0.0000  4 Pb 2.80-2.96, 8 W 2.87-3.09
W: 0.6837 0.6837 0.0000  4 Pb 2.80-2.96, 8 W 2.87-3.09
W: 0.3163 0.0000 0.0000  4 Pb 2.80-2.96, 8 W 2.87-3.09
W: 0.6499 0.0000 0.5000  5 Pb 2.86-3.02, 8 W 2.87-3.09
W: 0.0000 0.6499 0.5000  5 Pb 2.86-3.02, 8 W 2.87-3.09
Pb: 0.3333 0.6667 0.0000  9 W 2.80-3.02, 2 Pb 2.87
Pb: 0.6667 0.3333 0.0000  9 W 2.80-3.02, 2 Pb 2.87
Pb: 0.0000 0.0000 0.5000  9 W 2.86-2.96, 2 Pb 2.87

=====

> The lowest E_tot belongs to which entry?

PbW8

=====

> Which of these has the lowest E_tot?

PbW8

=====

> What is the formula in the ninth record?

PbW2

=====

Repeat the first record exactly.
The following is a DFT calculation (PBE-GGA) of a relaxed Pb3W5 crystal.

Space-group type: Cmmm, No. 65
Crystal system: orthorhombic
E_tot in eV/atom: -8.297

Unit cell a=5.7014 b=5.7014 c=4.7020 alpha=90.00 beta=90.00 gamma=100.47
With the nearest neighbours (Å) after each atom.
Fractional positions:
Pb: 0.2151 0.7849 0.5000  10 W 2.88-3.01
Pb: 0.5000 0.5000 0.0000  8 W 2.77-2.85
Pb: 0.7849 0.2151 0.5000  10 W 2.88-3.01
W: 0.2981 0.2981 0.5000  6 Pb 2.77-2.90, 1 W 2.95
W: 0.0000 0.0000 0.0000  4 W 2.85, 4 Pb 3.01
W: 0.5000 0.0000 0.0000  2 W 2.85, 6 Pb 2.85-2.99
W: 0.0000 0.5000 0.0000  6 Pb 2.85-2.99, 2 W 2.85
W: 0.7019 0.7019 0.5000  6 Pb 2.77-2.90, 1 W 2.95